## Mn2CrNiPt (GGA-PBE)

Data for Mn2CrNiPt after structural relaxation.

Structure (POSCAR):
```
Mn2CrNiPt
1.0
4.804 0.000 0.000
0.000 4.804 0.000
0.000 0.000 4.761
Mn Cr Ni Pt
2 1 1 1
Cartesian
0.000 2.402 0.000
2.402 0.000 0.000
0.000 0.000 2.381
2.402 2.402 2.381
0.000 0.000 0.000
```

Values from the calculation:
- E_form (meV/atom) = 1138
- total magnetization (μB/atom) = 1.0455
- uncorrected energy (eV/atom) = -6.8185
- mass density (g/cm³) = 6.28
- space-group type = P4/mmm (123)